# 1
This record from Alexandria describes a geometry-optimized SrMg2As structure. The functional is GGA-PBE.

Cell: 6.123 6.123 3.421 Å, 90.00 90.00 120.22°
Element x y z (fractional)
Sr: 0.000 0.000 0.000
Mg: 0.000 0.500 0.500
Mg: 0.500 0.000 0.500
As: 0.500 0.500 0.000

Properties
- raw total energy (eV per atom) = -2.42
- DOS at the Fermi energy (states/eV/cell) = 2.34
- mass density (kg/m3) = 3164
- SG = Cmmm, No. 65
- formation energy from the elements (meV per atom) = -36.6

# 2
This record from Alexandria describes a geometry-optimized Ac3SiGe6Au2 structure. The functional is GGA-PBE.

Cell: 6.125 6.125 9.110 Å, 90.00 90.00 120.00°
Element x y z (fractional)
Ac: 0.000 0.000 0.000
Ac: 0.333 0.667 0.628
Ac: 0.667 0.333 0.372
Si: 0.000 0.000 0.500
Ge: 0.189 0.378 0.284
Ge: 0.189 0.811 0.284
Ge: 0.378 0.189 0.716
Ge: 0.622 0.811 0.284
Ge: 0.811 0.189 0.716
Ge: 0.811 0.622 0.716
Au: 0.333 0.667 0.000
Au: 0.667 0.333 0.000

Properties
- raw total energy (eV per atom) = -4.65
- DOS at the Fermi energy (states/eV/cell) = 6.14
- mass density (kg/m3) = 8632
- SG = P-3m1, No. 164
- E_form (uncorrected) (kJ/mol of atoms) = -31

# 3
This record from Alexandria describes a geometry-optimized YbDy6 structure. The functional is GGA-PBE.

Cell: 7.120 7.120 7.120 Å, 109.47 109.47 109.47°
Element x y z (fractional)
Yb: 0.000 0.000 0.000
Dy: 0.250 0.500 0.750
Dy: 0.250 0.750 0.500
Dy: 0.500 0.250 0.750
Dy: 0.500 0.750 0.250
Dy: 0.750 0.250 0.500
Dy: 0.750 0.500 0.250

Properties
- raw total energy (eV per atom) = -2.75
- DOS at the Fermi energy (states/eV/cell) = 25.46
- mass density (kg/m3) = 6861
- SG = Im-3m, No. 229
- formation energy from the elements (meV per atom) = 1411.3

# 4
This record from Alexandria describes a geometry-optimized SiBAs structure. The functional is GGA-PBE.

Cell: 5.303 5.303 7.376 Å, 123.39 123.39 35.81°
Element x y z (fractional)
Si: 0.029 0.029 0.280
Si: 0.971 0.971 0.720
B: 0.448 0.448 0.860
B: 0.552 0.552 0.140
As: 0.196 0.196 0.680
As: 0.804 0.804 0.320

Properties
- raw total energy (eV per atom) = -5.40
- DOS at the Fermi energy (states/eV/cell) = 1.05
- mass density (kg/m3) = 3818
- SG = C2/m, No. 12
- E_form (uncorrected) (kJ/mol of atoms) = 17

# 5
This record from Alexandria describes a geometry-optimized TaTi6Tl structure. The functional is GGA-PBE.

Cell: 4.774 5.888 5.888 Å, 60.57 90.00 90.00°
Element x y z (fractional)
Ta: 0.000 0.000 0.000
Ti: 0.000 0.509 0.509
Ti: 0.000 0.509 0.992
Ti: 0.000 0.992 0.509
Ti: 0.500 0.325 0.835
Ti: 0.500 0.833 0.833
Ti: 0.500 0.835 0.325
Tl: 0.500 0.333 0.333

Properties
- raw total energy (eV per atom) = -7.62
- DOS at the Fermi energy (states/eV/cell) = 8.59
- mass density (kg/m3) = 7748
- SG = Amm2, No. 38
- formation energy from the elements (meV per atom) = 81.4

# 6
This record from Alexandria describes a geometry-optimized Sm3UTl4Te8 structure. The functional is GGA-PBE.

Cell: 9.723 9.723 9.723 Å, 55.23 55.23 55.23°
Element x y z (fractional)
Sm: 0.000 0.500 0.500
Sm: 0.500 0.000 0.500
Sm: 0.500 0.500 0.000
U: 0.000 0.000 0.000
Tl: 0.000 0.000 0.500
Tl: 0.000 0.500 0.000
Tl: 0.500 0.000 0.000
Tl: 0.500 0.500 0.500
Te: 0.239 0.239 0.741
Te: 0.239 0.741 0.239
Te: 0.259 0.761 0.761
Te: 0.261 0.261 0.261
Te: 0.739 0.739 0.739
Te: 0.741 0.239 0.239
Te: 0.761 0.259 0.761
Te: 0.761 0.761 0.259

Properties
- raw total energy (eV per atom) = -4.68
- DOS at the Fermi energy (states/eV/cell) = 4.11
- mass density (kg/m3) = 7263
- SG = R-3m, No. 166
- E_form (uncorrected) (kJ/mol of atoms) = -89